Below is a relaxed structure of GePSO2, with properties calculated at the GGA-PBE level.

* formation energy (no corrections): -0.233 eV/atom
* size of the total moment: 0.06 μB/f.u.

Cell lengths 3.517, 3.517, 6.320 Å; angles 90.00, 90.00, 90.00 degrees
Space group P4/mmm (No. 123)
Symmetry-distinct sites (fractional):
Ge 0.000 0.000 0.000 [1 per cell]
P 0.000 0.000 0.500 [1 per cell]
S 0.500 0.500 0.500 [1 per cell]
O 0.000 0.500 0.000 [2 per cell]